Entry 1:
This record from the Alexandria database describes crystalline LaBeIr at its relaxed geometry. The functional is PBEsol.

abc: 3.9620 3.9620 4.1905
angles: 90.00 90.00 120.00
Fractional coordinates of all 3 atoms:
Ir1 0.3333 0.6667 0.0000
La1 0.6667 0.3333 0.5000
Be1 0.0000 0.0000 0.0000

Summary:
magnetic moment = 0.00 μB/cell
crystal system = hexagonal
calculated volume = 19.0 Å³ per atom
calculated formation energy = -0.514 eV per atom



Entry 2:
This record from the Alexandria database describes crystalline Ta3BrN at its relaxed geometry. The functional is PBEsol.

abc: 4.2662 4.2662 4.2662
angles: 90.00 90.00 90.00
Fractional coordinates of all 5 atoms:
Ta1 0.0000 0.0000 0.5000
Br1 0.5000 0.5000 0.5000
Ta2 0.5000 0.0000 0.0000
Ta3 0.0000 0.5000 0.0000
N1 0.0000 0.0000 0.0000

Summary:
magnetic moment = 0.00 μB/cell
crystal system = cubic
calculated volume = 15.5 Å³ per atom
total energy = -9.45 eV/atom



Entry 3:
This record from the Alexandria database describes crystalline Cd2IrBr at its relaxed geometry. The functional is PBEsol.

abc: 3.1876 4.7324 4.9715
angles: 90.00 90.00 90.00
Fractional coordinates of all 4 atoms:
Ir1 0.5000 0.0000 0.5711
Cd1 0.0000 0.5000 0.6762
Br1 0.5000 0.5000 0.1991
Cd2 0.0000 0.0000 0.0535

Summary:
magnetic moment = 0.00 μB/cell
crystal system = orthorhombic
E above lowest polymorph = 0 meV per atom
calculated volume = 18.7 Å³ per atom



Entry 4:
This record from the Alexandria database describes crystalline Sr4YZr at its relaxed geometry. The functional is PBEsol.

abc: 6.9764 6.9764 6.9764
angles: 60.00 60.00 60.00
Last column: magnetic moment on the atom in μB.
Fractional coordinates of all 6 atoms:
Sr1 0.3741 0.8778 0.3741  0.07
Sr2 0.8778 0.3741 0.3741  0.07
Y1 0.7500 0.7500 0.7500  0.18
Zr1 0.0000 0.0000 0.0000  1.28
Sr3 0.3741 0.3741 0.3741  0.07
Sr4 0.3741 0.3741 0.8778  0.07

Summary:
magnetic moment = 4.05 μB/cell
crystal system = cubic
calculated volume = 40.0 Å³ per atom
calculated formation energy = 0.751 eV per atom



Question: What is the formula in the second record?
Answer: Ta3BrN